Sm3Y2Th4: optimized geometry, PBE.

As for the energy of formation: 0.05 eV/atom.

The space group is C2/m (No. 12) and the conventional cell measures 15.214, 5.082 and 8.075 Å, with angles of 90.00, 108.68 and 90.00 degrees. The inequivalent atoms are Sm at (0.000, 0.000, 0.000), Sm at (0.117, 0.000, 0.671), Y at (0.060, 0.500, 0.332), Th at (0.169, 0.500, 0.003) and Th at (0.224, 0.000, 0.332).

***

Li2UGeTe4: optimized geometry, PBE.

The value obtained for the formation energy without anion corrections is -617 meV/atom.

The space group is P2/m (No. 10) and the conventional cell measures 7.288, 4.323 and 7.557 Å, with angles of 90.00, 109.47 and 90.00 degrees. The inequivalent atoms are Li at (0.000, 0.000, 0.000), Li at (0.000, 0.500, 0.500), U at (0.500, 0.000, 0.500), Ge at (0.500, 0.500, 0.000), Te at (0.247, 0.500, 0.244) and Te at (0.253, 0.000, 0.752).

***

V2Fe2Co: optimized geometry, PBE.

Its energy above the most stable polymorph in this dataset is 0.001 eV/f.u. As for the energy of formation: -0.09 eV/atom.

The space group is Cmc2_1 (No. 36) and the conventional cell measures 3.915, 12.223 and 4.843 Å, with angles of 90.00, 90.00 and 90.00 degrees. The inequivalent atoms are V at (0.000, 0.082, 0.000), V at (0.000, 0.292, 0.192), Fe at (0.000, 0.320, 0.669), Fe at (0.000, 0.488, 0.283) and Co at (0.000, 0.115, 0.493).

***

YBeIn2: optimized geometry, PBE.

As for the energy of formation: -0.09 eV/atom.

The space group is C2/m (No. 12) and the conventional cell measures 7.492, 4.330 and 6.059 Å, with angles of 90.00, 114.42 and 90.00 degrees. The inequivalent atoms are Y at (0.000, 0.000, 0.000), Be at (0.000, 0.500, 0.500) and In at (0.220, 0.000, 0.661).

***

Cd2As2P: optimized geometry, PBE.

Its energy above the most stable polymorph in this dataset is 0.000 eV/f.u. As for the energy of formation: 0.16 eV/atom.

The space group is P-3m1 (No. 164) and the conventional cell measures 3.5922, 3.5922 and 9.3975 Å, with angles of 90.00, 90.00 and 120.00 degrees. The inequivalent atoms are Cd at (0.3333, 0.6667, 0.1170), As at (0.3333, 0.6667, 0.6604) and P at (0.0000, 0.0000, 0.5000).

***

BeTeW2: optimized geometry, PBE.

Its energy above the most stable polymorph in this dataset is 1.219 eV/f.u. The value obtained for the formation energy without anion corrections is 612 meV/atom.

The space group is Cm (No. 8) and the conventional cell measures 8.685, 3.314 and 4.888 Å, with angles of 90.00, 107.75 and 90.00 degrees. The inequivalent atoms are Be at (0.000, 0.000, 0.000), Te at (0.233, 0.000, 0.643), W at (0.229, 0.500, 0.094) and W at (0.467, 0.000, 0.365).

***

NaSrGaMo2: optimized geometry, PBE.

As for the energy of formation: 1.22 eV/atom.

The space group is P4/mmm (No. 123) and the conventional cell measures 5.019, 5.019 and 5.799 Å, with angles of 90.00, 90.00 and 90.00 degrees. The inequivalent atoms are Na at (0.000, 0.000, 0.000), Sr at (0.500, 0.500, 0.000), Ga at (0.500, 0.500, 0.500) and Mo at (0.000, 0.500, 0.500).

***

Na6AcTl6: optimized geometry, PBE.

As for the energy of formation: -0.08 eV/atom.

The space group is Immm (No. 71) and the conventional cell measures 6.472, 10.669 and 11.021 Å, with angles of 90.00, 90.00 and 90.00 degrees. The inequivalent atoms are Na at (0.000, 0.000, 0.236), Na at (0.250, 0.250, 0.250), Ac at (0.000, 0.500, 0.500), Tl at (0.000, 0.156, 0.500), Tl at (0.000, 0.188, 0.000) and Tl at (0.000, 0.500, 0.139).

***

RbCdHg2Au: optimized geometry, PBE.

Its energy above the most stable polymorph in this dataset is 0.000 eV/f.u. As for the energy of formation: -0.20 eV/atom.

The space group is Imm2 (No. 44) and the conventional cell measures 4.817, 4.906 and 12.658 Å, with angles of 90.00, 90.00 and 90.00 degrees. The inequivalent atoms are Rb at (0.000, 0.000, 0.000), Cd at (0.000, 0.500, 0.760), Hg at (0.000, 0.000, 0.610), Hg at (0.000, 0.500, 0.261) and Au at (0.000, 0.000, 0.385).

***

La2SnB3Rh12: optimized geometry, PBE.

As for the energy of formation: -0.21 eV/atom.

The space group is R-3m (No. 166, hexagonal axes) and the conventional cell measures 7.5899, 7.5899 and 17.2567 Å, with angles of 90.00, 90.00 and 120.00 degrees. The inequivalent atoms are La at (0.0000, 0.0000, 0.0930), Sn at (0.0000, 0.0000, 0.5000), B at (0.0000, 0.5000, 0.0000), Rh at (0.0702, 0.5351, 0.8806) and Rh at (0.0730, 0.5365, 0.3056).

***

K3LiO: optimized geometry, PBE.

Its energy above the most stable polymorph in this dataset is 0.000 eV/f.u. The value obtained for the formation energy without anion corrections is -470 meV/atom.

The space group is Pm-3m (No. 221) and the conventional cell measures 5.535, 5.535 and 5.535 Å, with angles of 90.00, 90.00 and 90.00 degrees. The inequivalent atoms are K at (0.000, 0.000, 0.500), Li at (0.500, 0.500, 0.500) and O at (0.000, 0.000, 0.000).

***

BaBeI4: optimized geometry, PBE.

The value obtained for the formation energy without anion corrections is -1153 meV/atom.

The space group is P2_1/m (No. 11) and the conventional cell measures 7.206, 10.392 and 7.229 Å, with angles of 90.00, 104.84 and 90.00 degrees. The inequivalent atoms are Ba at (0.073, 0.250, 0.176), Be at (0.184, 0.750, 0.346), I at (0.160, 0.250, 0.687), I at (0.269, 0.565, 0.175) and I at (0.357, 0.750, 0.676).

***

AcScRh4: optimized geometry, PBE.

As for the energy of formation: -0.55 eV/atom.

The space group is F-43m (No. 216) and the conventional cell measures 7.627, 7.627 and 7.627 Å, with angles of 90.00, 90.00 and 90.00 degrees. The inequivalent atoms are Ac at (0.000, 0.000, 0.000), Sc at (0.250, 0.250, 0.750) and Rh at (0.124, 0.124, 0.376).

***

In2CuAs: optimized geometry, PBE.

As for the energy of formation: 0.11 eV/atom.

The space group is P4mm (No. 99) and the conventional cell measures 3.159, 3.159 and 8.560 Å, with angles of 90.00, 90.00 and 90.00 degrees. The inequivalent atoms are In at (0.000, 0.000, 0.000), In at (0.500, 0.500, 0.317), Cu at (0.500, 0.500, 0.770) and As at (0.000, 0.000, 0.613).

***

LiRu2Br: optimized geometry, PBE.

Its energy above the most stable polymorph in this dataset is 1.289 eV/f.u. The value obtained for the formation energy without anion corrections is 486 meV/atom.

The space group is Cmm2 (No. 35) and the conventional cell measures 2.878, 4.855 and 9.755 Å, with angles of 90.00, 90.00 and 90.00 degrees. The inequivalent atoms are Li at (0.000, 0.000, 0.000), Ru at (0.000, 0.000, 0.448), Ru at (0.000, 0.500, 0.234) and Br at (0.000, 0.500, 0.790).

***

Cs2PbSI6: optimized geometry, PBE.

The value obtained for the formation energy without anion corrections is -687 meV/atom.

The space group is I4/mmm (No. 139) and the conventional cell measures 8.295, 8.295 and 14.132 Å, with angles of 90.00, 90.00 and 90.00 degrees. The inequivalent atoms are Cs at (0.000, 0.500, 0.250), Pb at (0.000, 0.000, 0.000), S at (0.000, 0.000, 0.500), I at (0.000, 0.000, 0.224) and I at (0.230, 0.230, 0.500).

***

LaIn2Sb: optimized geometry, PBE.

Its energy above the most stable polymorph in this dataset is 0.867 eV/f.u. The value obtained for the formation energy without anion corrections is -365 meV/atom.

The space group is I-42d (No. 122) and the conventional cell measures 8.740, 8.740 and 6.478 Å, with angles of 90.00, 90.00 and 90.00 degrees. The inequivalent atoms are La at (0.000, 0.000, 0.000), In at (0.221, 0.250, 0.625) and Sb at (0.000, 0.000, 0.500).

***

Y3Cd4Au4: optimized geometry, PBE.

As for the energy of formation: -0.55 eV/atom.

The space group is Immm (No. 71) and the conventional cell measures 3.841, 8.040 and 16.590 Å, with angles of 90.00, 90.00 and 90.00 degrees. The inequivalent atoms are Y at (0.000, 0.000, 0.000), Y at (0.000, 0.500, 0.109), Cd at (0.000, 0.315, 0.337), Au at (0.000, 0.000, 0.253) and Au at (0.000, 0.195, 0.500).

***

NaCaV2Pt: optimized geometry, PBE.

As for the energy of formation: 1.53 eV/atom.

The space group is P4/mmm (No. 123) and the conventional cell measures 5.363, 5.363 and 5.052 Å, with angles of 90.00, 90.00 and 90.00 degrees. The inequivalent atoms are Na at (0.000, 0.000, 0.000), Ca at (0.500, 0.500, 0.500), V at (0.000, 0.500, 0.500) and Pt at (0.500, 0.500, 0.000).

***

LaGd2Au: optimized geometry, PBE.

Its energy above the most stable polymorph in this dataset is 0.000 eV/f.u. As for the energy of formation: -0.40 eV/atom.

The space group is P4/mmm (No. 123) and the conventional cell measures 3.684, 3.684 and 8.643 Å, with angles of 90.00, 90.00 and 90.00 degrees. The inequivalent atoms are La at (0.000, 0.000, 0.000), Gd at (0.500, 0.500, 0.299) and Au at (0.000, 0.000, 0.500).